--- w ---
A plane-wave DFT calculation with GGA-PBE was carried out for crystalline CaAs3Ru at its relaxed geometry.

a = 5.234 Å, b = 5.234 Å, c = 5.234 Å
α = 90.00°, β = 90.00°, γ = 90.00°
Fractional positions:
Ca1 0.000 0.000 0.000
As1 0.000 0.000 0.500
As2 0.000 0.500 0.000
As3 0.500 0.000 0.000
Ru1 0.500 0.500 0.500

--- x ---
A plane-wave DFT calculation with GGA-PBE was carried out for crystalline CaAs3Ru at its relaxed geometry.

a = 4.872 Å, b = 4.872 Å, c = 4.872 Å
α = 90.00°, β = 90.00°, γ = 90.00°
Fractional positions:
Ca1 0.000 0.000 0.000
As1 0.000 0.500 0.500
As2 0.500 0.000 0.500
As3 0.500 0.500 0.000
Ru1 0.500 0.500 0.500

Relative energies in meV/atom: w 1516; x 0

--- w ---
A plane-wave DFT calculation with GGA-PBE was carried out for crystalline CaAs2RuSe at its relaxed geometry.

a = 4.655 Å, b = 4.655 Å, c = 5.629 Å
α = 90.00°, β = 90.00°, γ = 90.00°
Fractional positions:
Ca1 0.000 0.000 0.000
As1 0.000 0.500 0.500
As2 0.500 0.000 0.500
Ru1 0.500 0.500 0.500
Se1 0.500 0.500 0.000

--- x ---
A plane-wave DFT calculation with GGA-PBE was carried out for crystalline CaAs2RuSe at its relaxed geometry.

a = 5.286 Å, b = 5.286 Å, c = 5.215 Å
α = 90.00°, β = 90.00°, γ = 90.00°
Fractional positions:
Ca1 0.000 0.000 0.000
As1 0.000 0.500 0.000
As2 0.500 0.000 0.000
Ru1 0.500 0.500 0.500
Se1 0.000 0.000 0.500

Relative energies in meV/atom: w 0; x 1530

--- w ---
A plane-wave DFT calculation with GGA-PBE was carried out for crystalline CaAs3S at its relaxed geometry.

a = 5.366 Å, b = 5.366 Å, c = 5.366 Å
α = 90.00°, β = 90.00°, γ = 90.00°
Fractional positions:
Ca1 0.000 0.000 0.000
As1 0.000 0.000 0.500
As2 0.000 0.500 0.000
As3 0.500 0.000 0.000
S1 0.500 0.500 0.500

--- x ---
A plane-wave DFT calculation with GGA-PBE was carried out for crystalline CaAs3S at its relaxed geometry.

a = 4.890 Å, b = 4.890 Å, c = 4.890 Å
α = 90.00°, β = 90.00°, γ = 90.00°
Fractional positions:
Ca1 0.000 0.000 0.000
As1 0.000 0.500 0.500
As2 0.500 0.000 0.500
As3 0.500 0.500 0.000
S1 0.500 0.500 0.500

Relative energies in meV/atom: w 1092; x 0

--- w ---
A plane-wave DFT calculation with GGA-PBE was carried out for crystalline CaSb2As2 at its relaxed geometry.

a = 8.357 Å, b = 8.357 Å, c = 3.865 Å
α = 90.00°, β = 90.00°, γ = 90.00°
Fractional positions:
Ca1 0.000 0.000 0.000
Ca2 0.500 0.500 0.000
Sb1 0.141 0.359 0.000
Sb2 0.359 0.859 0.000
Sb3 0.641 0.141 0.000
Sb4 0.859 0.641 0.000
As1 0.199 0.699 0.500
As2 0.301 0.199 0.500
As3 0.699 0.801 0.500
As4 0.801 0.301 0.500

--- x ---
A plane-wave DFT calculation with GGA-PBE was carried out for crystalline CaSb2As2 at its relaxed geometry.

a = 8.244 Å, b = 8.244 Å, c = 3.942 Å
α = 90.00°, β = 90.00°, γ = 90.00°
Fractional positions:
Ca1 0.000 0.000 0.000
Ca2 0.500 0.500 0.000
Sb1 0.174 0.326 0.500
Sb2 0.326 0.826 0.500
Sb3 0.674 0.174 0.500
Sb4 0.826 0.674 0.500
As1 0.166 0.666 0.000
As2 0.334 0.166 0.000
As3 0.666 0.834 0.000
As4 0.834 0.334 0.000

Relative energies in meV/atom: w 62; x 0